[1]
Entry from the Alexandria database: AgN2F after structural relaxation (PBE).

The offset from the most stable computed form is 2418.8 meV per atom. The size of the total moment is 4.18 Bohr magnetons per cell. As for the space group: I-42d, No. 122. The uncorrected formation energy comes out at 1.9999 eV/atom.

Lattice parameters (Å, degrees): 7.043 7.043 7.043 145.66 145.66 49.35
Atoms (fractional coordinates):
Ag 0.000 0.000 0.000
Ag 0.750 0.250 0.500
N 0.062 0.625 0.937
N 0.375 0.312 0.437
N 0.688 0.125 0.063
N 0.875 0.938 0.563
F 0.250 0.750 0.500
F 0.500 0.500 0.000



[2]
Entry from the Alexandria database: Zn7InAg12 after structural relaxation (PBE).

The size of the total moment is 0.00 Bohr magnetons per cell. As for the space group: R-3, No. 148. Its calculated formation energy is 8.6 kJ/mol of atoms.

Lattice parameters (Å, degrees): 7.172 7.172 7.172 85.10 85.10 85.10
Atoms (fractional coordinates):
Zn 0.000 0.000 0.000
Zn 0.137 0.382 0.444
Zn 0.382 0.444 0.137
Zn 0.444 0.137 0.382
Zn 0.556 0.863 0.618
Zn 0.618 0.556 0.863
Zn 0.863 0.618 0.556
In 0.500 0.500 0.500
Ag 0.048 0.637 0.128
Ag 0.128 0.048 0.637
Ag 0.174 0.655 0.728
Ag 0.272 0.826 0.345
Ag 0.345 0.272 0.826
Ag 0.363 0.872 0.952
Ag 0.637 0.128 0.048
Ag 0.655 0.728 0.174
Ag 0.728 0.174 0.655
Ag 0.826 0.345 0.272
Ag 0.872 0.952 0.363
Ag 0.952 0.363 0.872



[3]
Entry from the Alexandria database: AlVTe after structural relaxation (PBE).

The size of the total moment is 0.00 Bohr magnetons per cell. As for the space group: P2_1/m, No. 11. The uncorrected formation energy comes out at 0.1234 eV/atom.

Lattice parameters (Å, degrees): 4.554 5.134 6.427 90.00 110.23 90.00
Atoms (fractional coordinates):
Al 0.054 0.250 0.111
Al 0.946 0.750 0.889
V 0.500 0.000 0.000
V 0.500 0.500 0.000
Te 0.313 0.250 0.629
Te 0.687 0.750 0.371



[4]
Entry from the Alexandria database: KLi2Pt after structural relaxation (PBE).

The size of the total moment is 0.00 Bohr magnetons per cell. As for the space group: Cmmm, No. 65. Its calculated formation energy is 4.8 kJ/mol of atoms.

Lattice parameters (Å, degrees): 4.828 4.828 3.200 90.00 90.00 90.36
Atoms (fractional coordinates):
K 0.000 0.000 0.000
Li 0.000 0.500 0.500
Li 0.500 0.000 0.500
Pt 0.500 0.500 0.000



| no. | raw total energy (eV/cell) | DOS(E_F) (states/eV per atom) | V (Å³/cell) |
| --- | --- | --- | --- |
| 1 | -26.75 | 0.395 | 111 |
| 2 | -44.09 | 0.424 | 365 |
| 3 | -31.27 | 1.012 | 141 |
| 4 | -10.77 | 0.270 | 75 |